No. 1
Below is Sc2TcBi after structural relaxation, with properties calculated at the PBE level.

The energy relative to the elements comes out at 0.0090 eV/atom. The volume comes out at 23.962 Å³/atom. The calculation puts the total energy at -6.718 eV/atom.

It has space group R-3m (No. 166, hexagonal axes), with a = 3.3492 Å, b = 3.3492 Å, c = 29.6001 Å, α = 90.00°, β = 90.00° and γ = 120.00°. Symmetry generates all atoms from Sc at (0.0000, 0.0000, 0.1039), Tc at (0.0000, 0.0000, 0.5000) and Bi at (0.0000, 0.0000, 0.0000).


No. 2
Below is PrEuSnBi after structural relaxation, with properties calculated at the PBE level.

The energy relative to the elements comes out at -0.6164 eV/atom. The volume comes out at 31.590 Å³/atom. The calculation puts the total energy at -6.351 eV/atom.

It has space group F-43m (No. 216), with a = 7.9657 Å, b = 7.9657 Å, c = 7.9657 Å, α = 90.00°, β = 90.00° and γ = 90.00°. Symmetry generates all atoms from Pr at (0.0000, 0.0000, 0.0000), Eu at (0.0000, 0.0000, 0.5000), Sn at (0.2500, 0.2500, 0.7500) and Bi at (0.2500, 0.2500, 0.2500).


No. 3
Below is La3Pm2YSb6 after structural relaxation, with properties calculated at the PBE level.

The calculation puts the formation energy (no corrections) at -1225 meV per atom. The volume comes out at 33.157 Å³/atom. The calculation puts the total energy at -5.849 eV/atom.

It has space group C2/m (No. 12), with a = 7.8736 Å, b = 13.6349 Å, c = 7.8629 Å, α = 90.00°, β = 109.49° and γ = 90.00°. Symmetry generates all atoms from La at (0.0000, 0.0000, 0.0000), La at (0.0000, 0.3321, 0.0000), Pm at (0.0000, 0.1662, 0.5000), Y at (0.0000, 0.5000, 0.5000), Sb at (0.2452, 0.3350, 0.7410) and Sb at (0.2489, 0.5000, 0.2575).


No. 4
Below is Sr2MnPb after structural relaxation, with properties calculated at the PBE level.

The energy relative to the elements comes out at 0.0524 eV/atom. The volume comes out at 33.085 Å³/atom. The calculation puts the total energy at -4.008 eV/atom.

It has space group Cmmm (No. 65), with a = 8.1049 Å, b = 8.1135 Å, c = 4.0251 Å, α = 90.00°, β = 90.00° and γ = 90.00°. Symmetry generates all atoms from Sr at (0.2500, 0.2500, 0.0000), Mn at (0.0000, 0.0000, 0.5000) and Pb at (0.0000, 0.5000, 0.5000).


No. 5
Below is Tb5HoBi4 after structural relaxation, with properties calculated at the PBE level.

The energy relative to the elements comes out at -0.4845 eV/atom. The volume comes out at 34.136 Å³/atom. The calculation puts the total energy at -4.810 eV/atom.

It has space group C2/m (No. 12), with a = 19.0382 Å, b = 4.4136 Å, c = 8.4881 Å, α = 90.00°, β = 106.82° and γ = 90.00°. Symmetry generates all atoms from Tb at (0.0000, 0.0000, 0.0000), Tb at (0.1622, 0.5000, 0.3051), Tb at (0.1836, 0.5000, 0.8484), Ho at (0.0000, 0.0000, 0.5000), Bi at (0.0123, 0.5000, 0.7598) and Bi at (0.1686, 0.0000, 0.5755).


No. 6
Below is Cs2PtI6N after structural relaxation, with properties calculated at the PBE level.

The calculation puts the formation energy (no corrections) at -304 meV per atom. The volume comes out at 41.224 Å³/atom. The calculation puts the total energy at -2.841 eV/atom.

It has space group I4/mmm (No. 139), with a = 8.9054 Å, b = 8.9054 Å, c = 10.3962 Å, α = 90.00°, β = 90.00° and γ = 90.00°. Symmetry generates all atoms from Cs at (0.0000, 0.5000, 0.2500), Pt at (0.0000, 0.0000, 0.0000), I at (0.0000, 0.0000, 0.2835), I at (0.2129, 0.2129, 0.0000) and N at (0.0000, 0.0000, 0.5000).


No. 7
Below is Bi2WCl after structural relaxation, with properties calculated at the PBE level.

The calculation puts the formation energy (no corrections) at 838 meV per atom. The volume comes out at 23.975 Å³/atom. The calculation puts the total energy at -4.802 eV/atom.

It has space group Fm-3m (No. 225), with a = 7.2660 Å, b = 7.2660 Å, c = 7.2660 Å, α = 90.00°, β = 90.00° and γ = 90.00°. Symmetry generates all atoms from Bi at (0.2500, 0.2500, 0.2500), W at (0.0000, 0.0000, 0.0000) and Cl at (0.0000, 0.0000, 0.5000).


No. 8
Below is SrCuSi3 after structural relaxation, with properties calculated at the PBE level.

The calculation puts the formation energy (no corrections) at 305 meV per atom. The volume comes out at 20.962 Å³/atom. The calculation puts the total energy at -4.104 eV/atom.

It has space group Pm-3m (No. 221), with a = 4.7148 Å, b = 4.7148 Å, c = 4.7148 Å, α = 90.00°, β = 90.00° and γ = 90.00°. Symmetry generates all atoms from Sr at (0.0000, 0.0000, 0.0000), Cu at (0.5000, 0.5000, 0.5000) and Si at (0.0000, 0.5000, 0.5000).